LiLa3B after structural relaxation, computed with PBE.

abc: 5.413 5.413 5.413
angles: 90.00 90.00 90.00
Element x y z (fractional)
Li  0.000  0.000  0.000
La  0.000  0.500  0.500
La  0.500  0.000  0.500
La  0.500  0.500  0.000
B  0.500  0.500  0.500

Summary:
symmetry: Pm-3m, No. 221
final energy: -22.58 eV per cell
theoretical density: 4.55 g/cm³
N(E_F): 7.4 states/eV per cell
ΔE_f: 159 meV/atom
excess energy over the best structure of this formula in the dataset: 0.00 eV/f.u.
magnetization: 0.000 μB/f.u.

=====

KGeC3 after structural relaxation, computed with PBE.

abc: 4.655 4.655 4.655
angles: 90.00 90.00 90.00
Element x y z (fractional)
K  0.000  0.000  0.000
Ge  0.500  0.500  0.500
C  0.000  0.000  0.500
C  0.000  0.500  0.000
C  0.500  0.000  0.000

Summary:
symmetry: Pm-3m, No. 221
final energy: -12.32 eV per cell
theoretical density: 2.43 g/cm³
N(E_F): 3.5 states/eV per cell
ΔE_f: 4213 meV/atom
excess energy over the best structure of this formula in the dataset: 8.86 eV/f.u.
magnetization: 3.158 μB/f.u.

=====

Ce5InHg after structural relaxation, computed with PBE.

abc: 5.994 5.994 11.693
angles: 102.51 102.51 82.80
Element x y z (fractional)
Ce  0.079  0.921  0.750
Ce  0.122  0.463  0.671
Ce  0.215  0.480  0.921
Ce  0.463  0.122  0.171
Ce  0.480  0.215  0.421
Ce  0.520  0.785  0.579
Ce  0.537  0.878  0.829
Ce  0.785  0.520  0.079
Ce  0.878  0.537  0.329
Ce  0.921  0.079  0.250
In  0.339  0.661  0.250
In  0.661  0.339  0.750
Hg  0.000  0.000  0.000
Hg  0.000  0.000  0.500

Summary:
symmetry: C2/c, No. 15
final energy: -66.44 eV per cell
theoretical density: 8.46 g/cm³
N(E_F): 42.7 states/eV per cell
ΔE_f: -73 meV/atom
magnetization: 3.185 μB/f.u.